1.
A plane-wave DFT calculation with GGA+U was carried out for an optimized crystal structure of Ba2Li3MnF12.

Values from the calculation:
crystal system = trigonal
E = -4.98 eV/atom
DOS(E_F) = 14.77 states/eV per cell
SG = No. 166

Cell: 6.986 6.986 6.986 Å, 64.11 64.11 64.11°
Atoms (fractional coordinates):
Ba: 0.148 0.148 0.148
Ba: 0.852 0.852 0.852
Li: 0.000 0.500 0.500
Li: 0.500 0.000 0.500
Li: 0.500 0.500 0.000
Mn: 0.500 0.500 0.500
F: 0.127 0.127 0.562
F: 0.127 0.562 0.127
F: 0.204 0.557 0.557
F: 0.438 0.873 0.873
F: 0.443 0.443 0.796
F: 0.443 0.796 0.443
F: 0.557 0.204 0.557
F: 0.557 0.557 0.204
F: 0.562 0.127 0.127
F: 0.796 0.443 0.443
F: 0.873 0.438 0.873
F: 0.873 0.873 0.438

2.
A plane-wave DFT calculation with GGA+U was carried out for an optimized crystal structure of BaLiMnF6.

Values from the calculation:
crystal system = trigonal
E = -5.35 eV/atom
DOS(E_F) = 6.69 states/eV per cell
SG = No. 149

Cell: 5.324 5.324 5.593 Å, 90.00 90.00 120.00°
Atoms (fractional coordinates):
Ba: 0.000 0.000 0.000
Li: 0.667 0.333 0.500
Mn: 0.333 0.667 0.500
F: 0.022 0.386 0.696
F: 0.022 0.636 0.304
F: 0.364 0.386 0.304
F: 0.364 0.978 0.696
F: 0.614 0.636 0.696
F: 0.614 0.978 0.304

3.
A plane-wave DFT calculation with GGA+U was carried out for an optimized crystal structure of BaLi2MnF8.

Values from the calculation:
crystal system = monoclinic
E = -5.21 eV/atom
DOS(E_F) = 0.00 states/eV per cell
SG = No. 12

Cell: 4.869 4.869 7.851 Å, 92.50 92.50 69.28°
Atoms (fractional coordinates):
Ba: 0.000 0.000 0.000
Li: 0.367 0.367 0.702
Li: 0.633 0.633 0.298
Mn: 0.000 0.000 0.500
F: 0.220 0.765 0.326
F: 0.227 0.227 0.502
F: 0.235 0.780 0.674
F: 0.316 0.316 0.925
F: 0.684 0.684 0.075
F: 0.765 0.220 0.326
F: 0.773 0.773 0.498
F: 0.780 0.235 0.674

4.
A plane-wave DFT calculation with GGA+U was carried out for an optimized crystal structure of BaLiMn2F8.

Values from the calculation:
crystal system = triclinic
E = -5.68 eV/atom
DOS(E_F) = 5.68 states/eV per cell
SG = No. 2

Cell: 4.741 5.183 7.626 Å, 86.49 88.99 83.11°
Atoms (fractional coordinates):
Ba: 0.000 0.000 0.000
Li: 0.000 0.000 0.500
Mn: 0.495 0.467 0.701
Mn: 0.505 0.533 0.299
F: 0.157 0.778 0.309
F: 0.180 0.740 0.727
F: 0.340 0.297 0.483
F: 0.418 0.281 0.929
F: 0.582 0.719 0.071
F: 0.660 0.703 0.517
F: 0.820 0.260 0.273
F: 0.843 0.222 0.691

Question: What is the E in the first record?
Answer: -4.98 eV/atom

Question: E of number 4 (BaLiMn2F8)?
Answer: -5.68 eV/atom